DFT (GGA-PBE) results for Na4CaLa after structural relaxation.

Cell and atoms, written as POSCAR:
```
Na4CaLa
1.0
0.000 4.778 4.778
4.778 0.000 4.778
4.778 4.778 0.000
Na Ca La
4 1 1
direct
0.125 0.125 0.125 Na
0.125 0.125 0.626 Na
0.125 0.626 0.125 Na
0.626 0.125 0.125 Na
0.500 0.500 0.500 Ca
0.750 0.750 0.750 La
```

* symmetry: F-43m
* energy of formation: 98 kJ/mol of formula units
* energy: -11.19 eV per formula unit
* total moment: 0.0 Bohr magnetons per cell